No. 1
## Tb4Tl2Cd (PBE)

Data for Tb4Tl2Cd after structural relaxation.

```
Tb4Tl2Cd
1.0
2.643 1.526 8.544
-2.643 1.526 8.544
0.000 -3.051 8.544
Tb Tl Cd
4 2 1
direct
0.120 0.120 0.120
0.372 0.372 0.372
0.628 0.628 0.628
0.880 0.880 0.880
0.249 0.249 0.249
0.751 0.751 0.751
0.500 0.500 0.500
```

- E above lowest polymorph: 0 meV/atom
- Total DFT energy (no corrections): -3.673 eV per atom



No. 2
## BaLi2CuF8 (PBE)

Data for BaLi2CuF8 after structural relaxation.

```
BaLi2CuF8
1.0
4.959 0.000 0.000
0.155 5.075 0.000
0.743 1.015 6.422
Ba Li Cu F
1 2 1 8
direct
0.000 0.000 0.000
0.497 0.480 0.227
0.503 0.520 0.773
0.000 0.500 0.500
0.111 0.574 0.765
0.223 0.755 0.343
0.288 0.269 0.486
0.473 0.248 0.025
0.527 0.752 0.975
0.712 0.731 0.514
0.777 0.245 0.657
0.889 0.426 0.235
```

- Raw formation energy: -2.41 eV/atom
- Total DFT energy (no corrections): -4.478 eV per atom



No. 3
## Ce2Sn2Au (PBE)

Data for Ce2Sn2Au after structural relaxation.

```
Ce2Sn2Au
1.0
5.730 -2.332 0.000
5.730 2.332 0.000
-5.000 0.000 10.051
Ce Sn Au
4 4 2
direct
0.005 0.005 0.330
0.180 0.180 0.112
0.820 0.820 0.888
0.995 0.995 0.670
0.352 0.352 0.436
0.459 0.459 0.112
0.541 0.541 0.888
0.648 0.648 0.564
0.290 0.290 0.666
0.710 0.710 0.334
```

- Total DFT energy (no corrections): -5.275 eV per atom



No. 4
## Th3AlFe (PBE)

Data for Th3AlFe after structural relaxation.

```
Th3AlFe
1.0
9.479 0.000 0.000
0.000 6.123 0.000
-4.801 0.000 8.810
Th Al Fe
12 4 4
direct
0.033 0.061 0.316
0.033 0.439 0.816
0.315 0.194 0.686
0.315 0.306 0.186
0.385 0.728 0.928
0.385 0.772 0.428
0.615 0.228 0.572
0.615 0.272 0.072
0.685 0.694 0.814
0.685 0.806 0.314
0.967 0.561 0.184
0.967 0.939 0.684
0.140 0.640 0.546
0.140 0.860 0.046
0.860 0.140 0.954
0.860 0.360 0.454
0.273 0.145 0.930
0.273 0.355 0.430
0.727 0.645 0.570
0.727 0.855 0.070
```

- E above lowest polymorph: 0 meV/atom
- Total DFT energy (no corrections): -7.000 eV per atom



No. 5
## PmSm2Cu2Ge2 (PBE)

Data for PmSm2Cu2Ge2 after structural relaxation.

```
PmSm2Cu2Ge2
1.0
2.156 1.245 9.804
-2.156 1.245 9.804
0.000 -2.489 9.804
Pm Sm Cu Ge
1 2 2 2
direct
0.000 0.000 0.000
0.125 0.125 0.125
0.875 0.875 0.875
0.399 0.399 0.399
0.601 0.601 0.601
0.266 0.266 0.266
0.734 0.734 0.734
```

- Total DFT energy (no corrections): -5.012 eV per atom



No. 6
## Hf2NpRh (PBE)

Data for Hf2NpRh after structural relaxation.

```
Hf2NpRh
1.0
4.960 0.000 0.000
0.000 4.960 0.000
0.000 0.000 3.131
Hf Np Rh
2 1 1
direct
0.000 0.500 0.000
0.500 0.000 0.000
0.000 0.000 0.500
0.500 0.500 0.500
```

- E above lowest polymorph: 142 meV/atom
- Total DFT energy (no corrections): -10.144 eV per atom



No. 7
## La6SnOs2Cl3 (PBE)

Data for La6SnOs2Cl3 after structural relaxation.

```
La6SnOs2Cl3
1.0
10.076 -2.105 0.000
10.076 2.105 0.000
-2.374 0.000 8.748
La Sn Os Cl
6 1 2 3
direct
0.031 0.031 0.274
0.317 0.317 0.425
0.333 0.333 0.872
0.667 0.667 0.128
0.683 0.683 0.575
0.969 0.969 0.726
0.500 0.500 0.000
0.169 0.169 0.346
0.831 0.831 0.654
0.176 0.176 0.853
0.500 0.500 0.500
0.824 0.824 0.147
```

- Raw formation energy: -1.03 eV/atom
- Total DFT energy (no corrections): -6.166 eV per atom



No. 8
## Ba2CeMgS5 (PBE)

Data for Ba2CeMgS5 after structural relaxation.

```
Ba2CeMgS5
1.0
2.127 -8.943 0.000
2.127 8.943 0.000
0.000 0.000 12.971
Ba Ce Mg S
4 2 2 10
direct
0.106 0.894 0.500
0.127 0.873 0.127
0.873 0.127 0.627
0.894 0.106 0.000
0.210 0.790 0.832
0.790 0.210 0.332
0.450 0.550 0.265
0.550 0.450 0.765
0.058 0.942 0.861
0.285 0.715 0.469
0.310 0.690 0.196
0.359 0.641 0.818
0.497 0.503 0.596
0.503 0.497 0.096
0.641 0.359 0.318
0.690 0.310 0.696
0.715 0.285 0.969
0.942 0.058 0.361
```

- Raw formation energy: -1.85 eV/atom
- Total DFT energy (no corrections): -5.407 eV per atom



Please write out number 3 again, unchanged.
## Ce2Sn2Au (PBE)

Data for Ce2Sn2Au after structural relaxation.

```
Ce2Sn2Au
1.0
5.730 -2.332 0.000
5.730 2.332 0.000
-5.000 0.000 10.051
Ce Sn Au
4 4 2
direct
0.005 0.005 0.330
0.180 0.180 0.112
0.820 0.820 0.888
0.995 0.995 0.670
0.352 0.352 0.436
0.459 0.459 0.112
0.541 0.541 0.888
0.648 0.648 0.564
0.290 0.290 0.666
0.710 0.710 0.334
```

- Total DFT energy (no corrections): -5.275 eV per atom



> Among the records above, which one has the lowest total DFT energy (no corrections)?

Hf2NpRh



> Look up the total DFT energy (no corrections) of the eighth one.

-5.407 eV per atom